[1]
This record from Alexandria via LeMat-Bulk describes a geometry-optimized LiBeTeI2 structure. The functional is PBE-GGA.

Cell: 5.383 5.383 5.257 Å, 90.00 90.00 90.00°
Fractional positions:
Li (0.000, 0.000, 0.000)
Be (0.500, 0.500, 0.500)
Te (0.000, 0.000, 0.500)
I (0.000, 0.500, 0.000)
I (0.500, 0.000, 0.000)

Values from the calculation:
E: -9.14 eV for the cell shown
ΔE to the lowest computed polymorph: 3.25 eV per formula unit

[2]
This record from Alexandria via LeMat-Bulk describes a geometry-optimized LiBeTeI2 structure. The functional is PBE-GGA.

Cell: 5.590 5.590 4.915 Å, 90.00 90.00 90.00°
Fractional positions:
Li (0.000, 0.000, 0.000)
Be (0.500, 0.500, 0.500)
Te (0.500, 0.500, 0.000)
I (0.000, 0.500, 0.500)
I (0.500, 0.000, 0.500)

Values from the calculation:
E: -12.39 eV for the cell shown
ΔE to the lowest computed polymorph: 0.00 eV per formula unit

[3]
This record from Alexandria via LeMat-Bulk describes a geometry-optimized MgBe3I structure. The functional is PBE-GGA.

Cell: 4.901 4.901 4.901 Å, 90.00 90.00 90.00°
Fractional positions:
Mg (0.000, 0.000, 0.000)
Be (0.000, 0.000, 0.500)
Be (0.000, 0.500, 0.000)
Be (0.500, 0.000, 0.000)
I (0.500, 0.500, 0.500)

Values from the calculation:
E: -7.18 eV for the cell shown
ΔE to the lowest computed polymorph: 0.00 eV per formula unit

[4]
This record from Alexandria via LeMat-Bulk describes a geometry-optimized MgBe2I structure. The functional is PBE-GGA.

Cell: 6.585 6.585 6.585 Å, 121.72 121.72 87.04°
Fractional positions:
Mg (0.000, 0.000, 0.000)
Mg (0.750, 0.250, 0.500)
Be (0.132, 0.625, 0.007)
Be (0.375, 0.382, 0.507)
Be (0.618, 0.125, 0.993)
Be (0.875, 0.868, 0.493)
I (0.250, 0.750, 0.500)
I (0.500, 0.500, 0.000)

Values from the calculation:
E: -14.07 eV for the cell shown
ΔE to the lowest computed polymorph: 0.00 eV per formula unit

[5]
This record from Alexandria via LeMat-Bulk describes a geometry-optimized MgBe3I structure. The functional is PBE-GGA.

Cell: 4.823 4.823 4.823 Å, 90.00 90.00 90.00°
Fractional positions:
Mg (0.000, 0.000, 0.000)
Be (0.000, 0.500, 0.500)
Be (0.500, 0.000, 0.500)
Be (0.500, 0.500, 0.000)
I (0.500, 0.500, 0.500)

Values from the calculation:
E: -6.46 eV for the cell shown
ΔE to the lowest computed polymorph: 0.73 eV per formula unit

[6]
This record from Alexandria via LeMat-Bulk describes a geometry-optimized Mg2Be2I structure. The functional is PBE-GGA.

Cell: 7.220 7.220 3.641 Å, 90.00 90.00 90.00°
Fractional positions:
Mg (0.167, 0.333, 0.000)
Mg (0.333, 0.833, 0.000)
Mg (0.667, 0.167, 0.000)
Mg (0.833, 0.667, 0.000)
Be (0.106, 0.606, 0.500)
Be (0.394, 0.106, 0.500)
Be (0.606, 0.894, 0.500)
Be (0.894, 0.394, 0.500)
I (0.000, 0.000, 0.500)
I (0.500, 0.500, 0.500)

Values from the calculation:
E: -19.97 eV for the cell shown
ΔE to the lowest computed polymorph: 0.00 eV per formula unit

[7]
This record from Alexandria via LeMat-Bulk describes a geometry-optimized Mg2Be2I structure. The functional is PBE-GGA.

Cell: 6.362 6.362 6.362 Å, 140.66 140.66 56.85°
Fractional positions:
Mg (0.250, 0.750, 0.500)
Mg (0.750, 0.250, 0.500)
Be (0.095, 0.095, 0.000)
Be (0.905, 0.905, 0.000)
I (0.500, 0.500, 0.000)

Values from the calculation:
E: -9.42 eV for the cell shown
ΔE to the lowest computed polymorph: 0.56 eV per formula unit

[8]
This record from Alexandria via LeMat-Bulk describes a geometry-optimized MgBe2I structure. The functional is PBE-GGA.

Cell: 4.733 4.733 4.733 Å, 60.00 60.00 60.00°
Fractional positions:
Mg (0.000, 0.000, 0.000)
Be (0.250, 0.250, 0.250)
Be (0.750, 0.750, 0.750)
I (0.500, 0.500, 0.500)

Values from the calculation:
E: -6.19 eV for the cell shown
ΔE to the lowest computed polymorph: 0.84 eV per formula unit

no.,ΔE_f (raw) (meV/atom)
1,549
2,-102
3,1428
4,890
5,1573
6,442
7,554
8,1101